[1]
Compound: HoZn3Ga
Source: Alexandria via LeMat-Bulk
Functional: PBE
Structure: optimized geometry

abc: 5.840 5.858 6.023
angles: 90.00 118.22 90.00
Space group Cm (No. 8)
Symmetry-distinct sites (fractional):
Ho 0.000 0.000 0.000 (multiplicity 2)
Zn 0.385 0.000 0.767 (multiplicity 2)
Zn 0.499 0.254 0.498 (multiplicity 4)
Ga 0.107 0.500 0.219 (multiplicity 2)


[2]
Compound: YCoBi2
Source: Alexandria via LeMat-Bulk
Functional: PBE
Structure: optimized geometry

abc: 8.026 8.026 6.214
angles: 90.00 90.00 90.00
Space group I-42d (No. 122)
Symmetry-distinct sites (fractional):
Y 0.000 0.000 0.000 (multiplicity 4)
Co 0.000 0.000 0.500 (multiplicity 4)
Bi 0.184 0.250 0.625 (multiplicity 8)


| no. | total moment (μB per formula unit) | ΔH_f (0 K) (eV/atom) |
| --- | --- | --- |
| 1 | 0.0 | -0.361 |
| 2 | 0.0 | -0.098 |